Compound: Si2PCl
Source: the Alexandria database
Functional: PBE-GGA
Structure: optimized geometry

Cell and atoms, written as extended XYZ:
```
4
Lattice="1.733 -2.810 0.000 1.733 2.810 0.000 0.000 0.000 7.577" Properties=species:S:1:pos:R:3 pbc="T T T"
Si 0.000 0.000 1.642
Si 0.000 0.000 5.935
P 1.733 0.000 0.000
Cl 1.733 0.000 3.788
```

Summary:
- SG: Cmmm, No. 65
- Total energy: -4.160 eV per atom